Computed, not measured: a geometry-optimized Li2Ta2Pd structure at the PBE level of DFT.

Cell and atoms, written as CIF:
```
data_Li2Ta2Pd
_chemical_formula_sum 'Li4 Ta4 Pd2'
_cell_length_a 2.922
_cell_length_b 2.922
_cell_length_c 18.215
_cell_angle_alpha 90.00
_cell_angle_beta 90.00
_cell_angle_gamma 90.00
_space_group_name_H-M_alt 'I 4/m m m'
_space_group_IT_number 139
_space_group_name_Hall '-I 4 2'
loop_
_atom_site_label
_atom_site_type_symbol
_atom_site_fract_x
_atom_site_fract_y
_atom_site_fract_z
Li1 Li 0.000 0.500 0.250
Ta1 Ta 0.000 0.000 0.108
Pd1 Pd 0.000 0.000 0.500
```

Values from the calculation:
excess energy over the best structure of this formula in the dataset: 0 meV per atom
M_tot: 0.0 μB per formula unit
energy relative to the elements: 49 kJ/mol of atoms
uncorrected energy: -6.04 eV/atom